# 1
The following is a GGA-PBE calculation of a relaxed structure of Sr2La, from the Alexandria database.

Cell: 14.723 4.090 9.857 Å, 90.00 107.32 90.00°
Space group C2/m (No. 12)
Inequivalent atoms, fractional coordinates:
Sr1 0.033 0.000 0.267
Sr2 0.181 0.500 0.637
La1 0.156 0.500 0.026

Properties
- Distance to the lowest polymorph of the same formula: 0.00 eV/f.u.
- Formation energy from the elements: 2.3 kcal/mol of atoms

***

# 2
The following is a GGA-PBE calculation of a relaxed structure of SrLa2, from the Alexandria database.

Cell: 3.844 3.844 16.907 Å, 90.00 90.00 90.00°
Space group I4/mmm (No. 139)
Inequivalent atoms, fractional coordinates:
Sr1 0.000 0.000 0.000
La1 0.000 0.000 0.321

Properties
- Distance to the lowest polymorph of the same formula: 0.00 eV/f.u.
- Formation energy from the elements: 1.6 kcal/mol of atoms

***

# 3
The following is a GGA-PBE calculation of a relaxed structure of SrLa2, from the Alexandria database.

Cell: 12.155 6.714 6.099 Å, 90.00 90.00 90.00°
Space group Cmcm (No. 63)
Inequivalent atoms, fractional coordinates:
Sr1 0.000 0.181 0.250
La1 0.181 0.345 0.750

Properties
- Distance to the lowest polymorph of the same formula: 0.19 eV/f.u.
- Formation energy from the elements: 3.1 kcal/mol of atoms

***

# 4
The following is a GGA-PBE calculation of a relaxed structure of SrLa2, from the Alexandria database.

Cell: 7.770 7.770 8.105 Å, 90.00 90.00 90.00°
Space group I4/mcm (No. 140)
Inequivalent atoms, fractional coordinates:
Sr1 0.000 0.000 0.250
La1 0.137 0.363 0.000

Properties
- Distance to the lowest polymorph of the same formula: 0.87 eV/f.u.
- Formation energy from the elements: 8.3 kcal/mol of atoms

***

# 5
The following is a GGA-PBE calculation of a relaxed structure of Sr2La, from the Alexandria database.

Cell: 4.0194 4.0194 10.0546 Å, 90.00 90.00 120.00°
Space group P-3m1 (No. 164)
Inequivalent atoms, fractional coordinates:
Sr1 0.3333 0.6667 0.3236
La1 0.0000 0.0000 0.0000

Properties
- Distance to the lowest polymorph of the same formula: 0.05 eV/f.u.
- Formation energy from the elements: 2.7 kcal/mol of atoms

***

# 6
The following is a GGA-PBE calculation of a relaxed structure of SrLa5, from the Alexandria database.

Cell: 6.399 19.165 3.834 Å, 90.00 90.00 90.00°
Space group Cmmm (No. 65)
Inequivalent atoms, fractional coordinates:
Sr1 0.000 0.000 0.000
La1 0.000 0.184 0.500
La2 0.000 0.347 0.000
La3 0.000 0.500 0.500

Properties
- Distance to the lowest polymorph of the same formula: 0.57 eV/f.u.
- Formation energy from the elements: 3.3 kcal/mol of atoms

***

# 7
The following is a GGA-PBE calculation of a relaxed structure of SrLa2, from the Alexandria database.

Cell: 8.6111 8.6111 5.9827 Å, 90.00 90.00 120.00°
Space group P-62m (No. 189)
Inequivalent atoms, fractional coordinates:
Sr1 0.0000 0.0000 0.0000
Sr2 0.3333 0.6667 0.5000
La1 0.0000 0.2224 0.5000
La2 0.0000 0.5482 0.0000

Properties
- Distance to the lowest polymorph of the same formula: 0.98 eV/f.u.
- Formation energy from the elements: 9.1 kcal/mol of atoms

***

# 8
The following is a GGA-PBE calculation of a relaxed structure of SrLa6, from the Alexandria database.

Cell: 8.339 8.339 8.339 Å, 90.00 90.00 90.00°
Space group Im-3m (No. 229)
Inequivalent atoms, fractional coordinates:
Sr1 0.000 0.000 0.000
La1 0.000 0.250 0.500

Properties
- Formation energy from the elements: 16.8 kcal/mol of atoms

***

# 9
The following is a GGA-PBE calculation of a relaxed structure of Sr2La, from the Alexandria database.

Cell: 15.073 4.003 9.742 Å, 90.00 106.30 90.00°
Space group Cm (No. 8)
Inequivalent atoms, fractional coordinates:
Sr1 0.000 0.000 0.000
Sr2 0.049 0.000 0.607
Sr3 0.224 0.500 0.935
Sr4 0.381 0.000 0.280
La1 0.171 0.500 0.355
La2 0.321 0.000 0.643

Properties
- Distance to the lowest polymorph of the same formula: 0.05 eV/f.u.
- Formation energy from the elements: 2.7 kcal/mol of atoms

***

# 10
The following is a GGA-PBE calculation of a relaxed structure of SrLa5, from the Alexandria database.

Cell: 6.198 3.786 20.050 Å, 90.00 90.00 90.00°
Space group Amm2 (No. 38)
Inequivalent atoms, fractional coordinates:
Sr1 0.000 0.000 0.000
La1 0.000 0.000 0.320
La2 0.000 0.000 0.674
La3 0.500 0.000 0.113
La4 0.500 0.000 0.432
La5 0.500 0.000 0.784

Properties
- Distance to the lowest polymorph of the same formula: 0.23 eV/f.u.
- Formation energy from the elements: 1.9 kcal/mol of atoms

***

# 11
The following is a GGA-PBE calculation of a relaxed structure of Sr7La6, from the Alexandria database.

Cell: 7.3383 7.3383 39.0848 Å, 90.00 90.00 120.00°
Space group R-3m (No. 166, hexagonal axes)
Inequivalent atoms, fractional coordinates:
Sr1 0.0000 0.0000 0.0000
Sr2 0.0068 0.5034 0.4135
La1 0.0000 0.0000 0.1668
La2 0.0000 0.0000 0.3513
La3 0.0000 0.0000 0.4605

Properties
- Formation energy from the elements: 8.5 kcal/mol of atoms

***

# 12
The following is a GGA-PBE calculation of a relaxed structure of Sr5La4, from the Alexandria database.

Cell: 11.1097 11.1097 7.5867 Å, 90.00 90.00 120.00°
Space group P6_3/mcm (No. 193)
Inequivalent atoms, fractional coordinates:
Sr1 0.0000 0.3708 0.2500
Sr2 0.3333 0.6667 0.0000
La1 0.0000 0.0000 0.0000
La2 0.0000 0.2664 0.7500

Properties
- Distance to the lowest polymorph of the same formula: 0.94 eV/f.u.
- Formation energy from the elements: 4.7 kcal/mol of atoms

***

| no. | theoretical density (g cm⁻³) | size of the total moment (μB/atom) | uncorrected energy (eV per cell) |
| --- | --- | --- | --- |
| 1 | 3.68 | 0.000 | -32.0 |
| 2 | 4.86 | 0.000 | -22.7 |
| 3 | 4.88 | 0.000 | -44.5 |
| 4 | 4.96 | 0.000 | -41.8 |
| 5 | 3.71 | 0.001 | -7.9 |
| 6 | 5.53 | 0.000 | -50.9 |
| 7 | 4.74 | 0.002 | -31.0 |
| 8 | 5.28 | 0.000 | -52.3 |
| 9 | 3.70 | 0.000 | -31.8 |
| 10 | 5.52 | 0.000 | -51.6 |
| 11 | 3.95 | 0.573 | -109.7 |
| 12 | 4.07 | 0.104 | -52.6 |